# 1
Computed, not measured: a geometry-optimized Cd2CuAu3 structure at the PBE-GGA level of DFT.

Cell and atoms, written as POSCAR:
```
Cd2CuAu3
1.0
5.870 0.000 0.000
0.000 5.892 0.017
-2.935 -1.452 6.512
Cd Au Cu
4 6 2
Direct
0.667 0.089 0.344
0.322 0.411 0.656
0.678 0.589 0.344
0.333 0.911 0.656
0.866 0.933 0.725
0.697 0.250 0.000
0.859 0.433 0.725
0.134 0.067 0.275
0.303 0.750 0.000
0.141 0.567 0.275
0.247 0.250 0.000
0.753 0.750 0.000
```

Properties
* formation energy from the elements: -0.0755 eV/atom
* symmetry: C2/c, No. 15
* V: 225 Å³/cell
* energy above the lowest structure with this stoichiometry: 43 meV per atom

***

# 2
Computed, not measured: a geometry-optimized Al2SiRu2 structure at the PBE-GGA level of DFT.

Cell and atoms, written as POSCAR:
```
Al2SiRu2
1.0
-5.355 -1.465 2.687
-2.255 -1.773 -5.460
1.307 -3.615 0.634
Ru Si Al
4 2 4
Direct
0.844 0.656 0.000
0.656 0.156 0.000
0.156 0.344 0.000
0.344 0.844 0.000
0.000 0.000 0.000
0.500 0.500 0.000
0.345 0.155 0.500
0.845 0.345 0.500
0.655 0.845 0.500
0.155 0.655 0.500
```

Properties
* symmetry: P4/mbm, No. 127
* V: 148 Å³/cell
* energy above the lowest structure with this stoichiometry: 0 meV per atom

***

# 3
Computed, not measured: a geometry-optimized CsMnSb2H structure at the PBE-GGA level of DFT.

Cell and atoms, written as POSCAR:
```
CsMnSb2H
1.0
-3.746 -4.613 2.508
2.179 -2.735 -1.776
3.838 -0.303 5.175
Cs Sb Mn H
1 2 1 1
Direct
0.000 0.000 0.000
0.500 0.000 0.000
0.000 0.000 0.500
0.500 0.500 0.500
0.000 0.500 0.000
```

Properties
* symmetry: P4/mmm, No. 123
* V: 163 Å³/cell

***

Number 1: total energy -2.70 eV per atom, Fermi-level density of states 0.34 states/eV per atom. Number 2: total energy -6.82 eV per atom, Fermi-level density of states 0.44 states/eV per atom. Number 3: total energy -2.94 eV per atom, Fermi-level density of states 0.80 states/eV per atom.